1.
Here is a relaxed structure of KTa2TlGa from Alexandria via LeMat-Bulk. Energies are from PBE-GGA.

abc: 5.3051 5.3051 6.0228
angles: 90.00 90.00 90.00
With the nearest neighbours (Å) after each atom.
Positions (direct):
K: 0.0000 0.0000 0.0000  2 Tl 3.01
Ta: 0.0000 0.5000 0.5000  2 Tl 2.65
Ta: 0.5000 0.0000 0.5000  2 Tl 2.65
Tl: 0.0000 0.0000 0.5000  4 Ta 2.65
Ga: 0.5000 0.5000 0.0000  4 K 3.75, 8 Ta 4.01

Calculated values
Uncorrected energy = -4.05 eV per atom
D(E_F) = 7.76 states/eV/cell
Spin magnetization = 3.942 μB/cell

2.
Here is a relaxed structure of KTaTlGa2 from Alexandria via LeMat-Bulk. Energies are from PBE-GGA.

abc: 5.4176 5.4176 5.3098
angles: 90.00 90.00 90.00
With the nearest neighbours (Å) after each atom.
Positions (direct):
K: 0.0000 0.0000 0.0000  2 Ta 2.65, 4 Ga 2.71
Ta: 0.0000 0.0000 0.5000  2 K 2.65
Tl: 0.5000 0.5000 0.5000  8 Ga 3.79, 4 Ta 3.83
Ga: 0.0000 0.5000 0.0000  2 K 2.71
Ga: 0.5000 0.0000 0.0000  2 K 2.71

Calculated values
Uncorrected energy = -2.35 eV per atom
D(E_F) = 5.17 states/eV/cell
Spin magnetization = 0.000 μB/cell

3.
Here is a relaxed structure of K2TbGaTe4 from Alexandria via LeMat-Bulk. Energies are from PBE-GGA.

abc: 7.2006 7.2006 7.2006
angles: 105.40 105.40 117.95
With the nearest neighbours (Å) after each atom.
Positions (direct):
K: 0.0000 0.5000 0.5000  8 Te 3.61-3.84, 2 K 3.71
K: 0.5000 0.0000 0.5000  8 Te 3.61-3.84, 2 K 3.71
Tb: 0.0000 0.0000 0.0000  4 Te 2.99
Ga: 0.5000 0.5000 0.0000  4 Te 2.70
Te: 0.1060 0.1060 0.6514  1 Ga 2.70, 1 Tb 2.99
Te: 0.4545 0.4545 0.3486  1 Ga 2.70, 1 Tb 2.99
Te: 0.5455 0.8940 0.0000  1 Ga 2.70, 1 Tb 2.99
Te: 0.8940 0.5455 0.0000  1 Ga 2.70, 1 Tb 2.99

Calculated values
Uncorrected energy = -3.76 eV per atom
D(E_F) = 0.00 states/eV/cell
Spin magnetization = 0.000 μB/cell
E_form (uncorrected) = -0.95 eV/atom

4.
Here is a relaxed structure of KGaTc2 from Alexandria via LeMat-Bulk. Energies are from PBE-GGA.

abc: 9.8968 9.8968 9.8968
angles: 153.10 153.10 38.41
With the nearest neighbours (Å) after each atom.
Positions (direct):
K: 0.0000 0.0000 0.0000  4 Ga 3.26, 8 Tc 3.32-3.64
K: 0.7500 0.2500 0.5000  4 Ga 3.26, 8 Tc 3.32-3.64
Ga: 0.2500 0.7500 0.5000  4 Tc 2.62
Ga: 0.5000 0.5000 0.0000  4 Tc 2.62
Tc: 0.3213 0.1250 0.6963  2 Tc 2.35, 2 Ga 2.62
Tc: 0.3750 0.6787 0.8037  2 Tc 2.35, 2 Ga 2.62
Tc: 0.4287 0.6250 0.3037  2 Tc 2.35, 2 Ga 2.62
Tc: 0.8750 0.5713 0.1963  2 Tc 2.35, 2 Ga 2.62

Calculated values
Uncorrected energy = -5.17 eV per atom
D(E_F) = 7.87 states/eV/cell
Spin magnetization = 0.001 μB/cell

5.
Here is a relaxed structure of KTlGa2Tc from Alexandria via LeMat-Bulk. Energies are from PBE-GGA.

abc: 4.9431 4.9431 5.3464
angles: 90.00 90.00 90.00
With the nearest neighbours (Å) after each atom.
Positions (direct):
K: 0.0000 0.0000 0.0000  4 Tl 3.50, 8 Ga 3.64
Tl: 0.5000 0.5000 0.0000  2 Tc 2.67
Ga: 0.0000 0.5000 0.5000  2 Tc 2.47
Ga: 0.5000 0.0000 0.5000  2 Tc 2.47
Tc: 0.5000 0.5000 0.5000  4 Ga 2.47, 2 Tl 2.67

Calculated values
Uncorrected energy = -4.01 eV per atom
D(E_F) = 3.77 states/eV/cell
Spin magnetization = 0.000 μB/cell

6.
Here is a relaxed structure of KTl2GaTc from Alexandria via LeMat-Bulk. Energies are from PBE-GGA.

abc: 5.3595 5.3595 5.7099
angles: 90.00 90.00 90.00
With the nearest neighbours (Å) after each atom.
Positions (direct):
K: 0.0000 0.0000 0.0000  2 Tc 2.85
Tl: 0.0000 0.5000 0.5000  2 Tc 2.68
Tl: 0.5000 0.0000 0.5000  2 Tc 2.68
Ga: 0.5000 0.5000 0.0000  4 K 3.79, 8 Tl 3.92
Tc: 0.0000 0.0000 0.5000  4 Tl 2.68, 2 K 2.85

Calculated values
Uncorrected energy = -3.04 eV per atom
D(E_F) = 4.82 states/eV/cell
Spin magnetization = 0.000 μB/cell

7.
Here is a relaxed structure of KZnGa2Tc from Alexandria via LeMat-Bulk. Energies are from PBE-GGA.

abc: 4.8839 4.8839 5.0174
angles: 90.00 90.00 90.00
With the nearest neighbours (Å) after each atom.
Positions (direct):
K: 0.0000 0.0000 0.0000  4 Zn 3.45, 8 Ga 3.50
Zn: 0.5000 0.5000 0.0000  2 Tc 2.51
Ga: 0.0000 0.5000 0.5000  2 Tc 2.44
Ga: 0.5000 0.0000 0.5000  2 Tc 2.44
Tc: 0.5000 0.5000 0.5000  4 Ga 2.44, 2 Zn 2.51

Calculated values
Uncorrected energy = -3.75 eV per atom
D(E_F) = 2.47 states/eV/cell
Spin magnetization = 0.000 μB/cell

8.
Here is a relaxed structure of KGaTe2 from Alexandria via LeMat-Bulk. Energies are from PBE-GGA.

abc: 9.9954 9.9954 9.9954
angles: 24.19 24.19 24.19
With the nearest neighbours (Å) after each atom.
Positions (direct):
K: 0.0000 0.0000 0.0000  2 Te 3.28
Ga: 0.5000 0.5000 0.5000  6 Te 2.88
Te: 0.1128 0.1128 0.1128  3 Ga 2.88
Te: 0.8872 0.8872 0.8872  3 Ga 2.88

Calculated values
Uncorrected energy = -2.87 eV per atom
D(E_F) = 2.53 states/eV/cell
Spin magnetization = 0.000 μB/cell
E_form (uncorrected) = -0.27 eV/atom

9.
Here is a relaxed structure of KGaTe from Alexandria via LeMat-Bulk. Energies are from PBE-GGA.

abc: 4.4489 4.4489 6.2028
angles: 90.00 90.00 120.00
With the nearest neighbours (Å) after each atom.
Positions (direct):
K: 0.0000 0.0000 0.0000  3 Te 3.51, 3 Ga 3.53
Ga: 0.6667 0.3333 0.6096  3 Te 2.92
Te: 0.3333 0.6667 0.3848  3 Ga 2.92

Calculated values
Uncorrected energy = -2.96 eV per atom
Spin magnetization = 0.000 μB/cell
E_form (uncorrected) = -0.54 eV/atom

10.
Here is a relaxed structure of KGa2Te2 from Alexandria via LeMat-Bulk. Energies are from PBE-GGA.

abc: 7.3913 7.3913 7.3913
angles: 137.80 137.80 61.21
With the nearest neighbours (Å) after each atom.
Positions (direct):
K: 0.0000 0.0000 0.0000  8 Ga 4.15, 10 Te 4.27-4.34
Ga: 0.2500 0.7500 0.5000  4 Te 2.90
Ga: 0.7500 0.2500 0.5000  4 Te 2.90
Te: 0.3409 0.3409 0.0000  4 Ga 2.90
Te: 0.6591 0.6591 0.0000  4 Ga 2.90

Calculated values
Uncorrected energy = -3.05 eV per atom
D(E_F) = 1.49 states/eV/cell
Spin magnetization = 0.000 μB/cell
E_form (uncorrected) = -0.36 eV/atom

11.
Here is a relaxed structure of K2Ga2Te from Alexandria via LeMat-Bulk. Energies are from PBE-GGA.

abc: 7.9000 7.9000 7.9000
angles: 144.01 144.01 51.81
With the nearest neighbours (Å) after each atom.
Positions (direct):
K: 0.2500 0.7500 0.5000  4 Ga 3.39, 4 K 3.45
K: 0.7500 0.2500 0.5000  4 Ga 3.39, 4 K 3.45
Ga: 0.0848 0.0848 0.0000  1 Ga 2.41
Ga: 0.9152 0.9152 0.0000  1 Ga 2.41
Te: 0.5000 0.5000 0.0000  8 Ga 3.66

Calculated values
Uncorrected energy = -2.30 eV per atom
D(E_F) = 0.00 states/eV/cell
Spin magnetization = 0.000 μB/cell
E_form (uncorrected) = -0.02 eV/atom

12.
Here is a relaxed structure of KGa2Te2 from Alexandria via LeMat-Bulk. Energies are from PBE-GGA.

abc: 6.1782 6.1782 6.1782
angles: 126.47 126.47 79.11
With the nearest neighbours (Å) after each atom.
Positions (direct):
K: 0.0000 0.0000 0.0000  2 Ga 3.42, 8 Te 3.66
Ga: 0.3587 0.3587 0.0000  1 Ga 2.69, 4 Te 2.97
Ga: 0.6413 0.6413 0.0000  1 Ga 2.69, 4 Te 2.97
Te: 0.2500 0.7500 0.5000  4 Ga 2.97
Te: 0.7500 0.2500 0.5000  4 Ga 2.97

Calculated values
Uncorrected energy = -3.11 eV per atom
D(E_F) = 1.19 states/eV/cell
Spin magnetization = 0.000 μB/cell
E_form (uncorrected) = -0.42 eV/atom